# 1
Entry from Alexandria via LeMat-Bulk: a relaxed structure of MgSiTe2 (PBE).

```
MgSiTe2
1.0
2.186 -2.469 0.000
2.186 2.469 0.000
0.000 0.000 9.531
Mg Si Te
1 1 2
direct
0.000 0.000 0.000 Mg
0.500 0.500 0.188 Si
0.000 0.000 0.383 Te
0.500 0.500 0.780 Te
```

Spin magnetization = 0.00 μB/f.u.
Space group = Cmm2
Uncorrected formation energy = 0.13 eV per atom

# 2
Entry from Alexandria via LeMat-Bulk: a relaxed structure of MnZnTcI2 (PBE).

```
MnZnTcI2
1.0
5.441 0.000 0.000
0.000 5.441 0.000
0.000 0.000 4.960
Mn Zn Tc I
1 1 1 2
direct
0.000 0.000 0.000 Mn
0.500 0.500 0.000 Zn
0.000 0.000 0.500 Tc
0.000 0.500 0.500 I
0.500 0.000 0.500 I
```

Spin magnetization = 2.97 μB/f.u.
Space group = P4/mmm
Uncorrected formation energy = 0.75 eV per atom

# 3
Entry from Alexandria via LeMat-Bulk: a relaxed structure of LaCr2Ag (PBE).

```
LaCr2Ag
1.0
4.816 -1.641 0.000
4.816 1.641 0.000
-2.050 0.000 5.250
La Cr Ag
1 2 1
direct
0.000 0.000 0.000 La
0.242 0.242 0.621 Cr
0.758 0.758 0.379 Cr
0.500 0.500 0.500 Ag
```

Spin magnetization = 0.00 μB/f.u.
Space group = C2/m
ΔE_f = 2.45 eV/f.u.

# 4
Entry from Alexandria via LeMat-Bulk: a relaxed structure of CuPbAu2 (PBE).

```
CuPbAu2
1.0
3.487 0.000 0.000
0.000 3.487 0.000
0.000 0.000 6.493
Cu Pb Au
1 1 2
direct
0.000 0.000 0.000 Cu
0.500 0.500 0.297 Pb
0.000 0.000 0.583 Au
0.500 0.500 0.831 Au
```

Spin magnetization = 0.00 μB/f.u.
Space group = P4mm
ΔE_f = 0.24 eV/f.u.

# 5
Entry from Alexandria via LeMat-Bulk: a relaxed structure of Li3Ag2 (PBE).

```
Li3Ag2
1.0
7.490 -2.347 0.000
7.490 2.347 0.000
0.000 0.000 4.658
Li Ag
6 4
direct
0.018 0.589 0.750 Li
0.213 0.787 0.750 Li
0.411 0.982 0.750 Li
0.589 0.018 0.250 Li
0.787 0.213 0.250 Li
0.982 0.411 0.250 Li
0.187 0.609 0.250 Ag
0.391 0.813 0.250 Ag
0.609 0.187 0.750 Ag
0.813 0.391 0.750 Ag
```

Spin magnetization = 0.00 μB/f.u.
Space group = Cmcm
ΔE_f = -0.95 eV/f.u.

# 6
Entry from Alexandria via LeMat-Bulk: a relaxed structure of AgRuCSe2 (PBE).

```
AgRuCSe2
1.0
4.663 0.000 0.000
0.000 4.663 0.000
0.000 0.000 3.893
Ag Ru C Se
1 1 1 2
direct
0.000 0.000 0.000 Ag
0.500 0.500 0.000 Ru
0.500 0.500 0.500 C
0.000 0.500 0.500 Se
0.500 0.000 0.500 Se
```

Spin magnetization = 0.00 μB/f.u.
Space group = P4/mmm
Uncorrected formation energy = 0.96 eV per atom